(1)
GdYTmZr PBE optimized geometry; N(E_F) = 8.65 states/eV per cell; space group = F-43m, No. 216; calculated formation energy = 0.219 eV per atom; crystal system = cubic
1.0
-1.067 4.433 3.048
1.149 -0.018 5.363
4.124 3.058 1.932
Gd Y Tm Zr
1 1 1 1
Cartesian
1.051 1.868 2.586 Gd
3.154 5.605 7.757 Y
2.102 3.737 5.171 Tm
0.000 0.000 0.000 Zr

(2)
GdTmZn2 PBE optimized geometry; N(E_F) = 2.90 states/eV per cell; space group = Fm-3m, No. 225; calculated formation energy = -0.349 eV per atom; distance to the lowest polymorph of the same formula = 0.001 eV per atom; crystal system = cubic
1.0
-1.086 2.568 4.198
-4.487 -0.580 2.219
-0.336 -2.411 4.412
Gd Zn Tm
1 2 1
Cartesian
0.000 0.000 0.000 Gd
-1.477 -0.106 2.707 Zn
-4.431 -0.318 8.122 Zn
-2.954 -0.212 5.414 Tm

(3)
GdTmZn2 PBE optimized geometry; N(E_F) = 3.50 states/eV per cell; space group = P4/mmm, No. 123; calculated formation energy = -0.350 eV per atom; distance to the lowest polymorph of the same formula = 0.000 eV per atom; crystal system = tetragonal
1.0
-3.096 0.604 1.634
0.935 -2.235 2.598
2.967 5.438 3.611
Gd Zn Tm
1 2 1
Cartesian
-1.081 -0.815 2.116 Gd
2.186 4.007 2.660 Zn
0.781 1.432 0.950 Zn
0.403 1.904 3.921 Tm

(4)
GdTmZr PBE optimized geometry; N(E_F) = 4.20 states/eV per cell; space group = I4mm, No. 107; calculated formation energy = 0.074 eV per atom; distance to the lowest polymorph of the same formula = 0.000 eV per atom; crystal system = tetragonal
1.0
3.385 0.000 0.000
0.000 3.385 0.000
-1.692 -1.692 7.363
Gd Tm Zr
1 1 1
Cartesian
0.000 0.000 5.049 Gd
1.692 1.692 2.273 Tm
0.000 0.000 0.042 Zr

(5)
GdTmZr PBE optimized geometry; N(E_F) = 3.82 states/eV per cell; space group = P3m1, No. 156; calculated formation energy = 0.088 eV per atom; distance to the lowest polymorph of the same formula = 0.014 eV per atom; crystal system = trigonal
1.0
-0.684 3.151 1.078
-1.051 -2.680 1.807
7.198 0.087 4.316
Gd Tm Zr
1 1 1
Cartesian
0.119 0.001 0.072 Gd
3.736 -0.680 4.362 Tm
1.607 1.236 2.768 Zr

(6)
GdTmZr2 PBE optimized geometry; N(E_F) = 4.77 states/eV per cell; space group = P4/mmm, No. 123; calculated formation energy = 0.218 eV per atom; distance to the lowest polymorph of the same formula = 0.107 eV per atom; crystal system = tetragonal
1.0
3.941 0.000 0.000
0.000 3.941 0.000
0.000 0.000 6.751
Gd Tm Zr
1 1 2
Cartesian
1.971 1.971 3.376 Gd
1.971 1.971 0.000 Tm
0.000 0.000 4.994 Zr
0.000 0.000 1.757 Zr